*1*
A relaxed structure of YGa3Rh3, computed with PBE.

spin magnetization	0.00	Bohr magnetons per cell

Geometry as CIF:
```
data_YGa3Rh3
_symmetry_space_group_name_H-M 'P m -3 n'
_symmetry_Int_Tables_number 223
_symmetry_space_group_name_Hall '-P 4n 2 3'
_cell_length_a 6.6848
_cell_length_b 6.6848
_cell_length_c 6.6848
_cell_angle_alpha 90.00
_cell_angle_beta 90.00
_cell_angle_gamma 90.00
loop_
_atom_site_label
_atom_site_type_symbol
_atom_site_fract_x
_atom_site_fract_y
_atom_site_fract_z
Y1 Y 0.0000 0.0000 0.0000
Ga1 Ga 0.0000 0.2500 0.5000
Rh1 Rh 0.0000 0.5000 0.2500
```


*2*
A relaxed structure of YGa3Rh3, computed with PBE.

spin magnetization	0.00	Bohr magnetons per cell

Geometry as CIF:
```
data_YGa3Rh3
_symmetry_space_group_name_H-M 'P 21 3'
_symmetry_Int_Tables_number 198
_symmetry_space_group_name_Hall 'P 2ac 2ab 3'
_cell_length_a 7.7210
_cell_length_b 7.7210
_cell_length_c 7.7210
_cell_angle_alpha 90.00
_cell_angle_beta 90.00
_cell_angle_gamma 90.00
loop_
_atom_site_label
_atom_site_type_symbol
_atom_site_fract_x
_atom_site_fract_y
_atom_site_fract_z
Y1 Y 0.0605 0.4395 0.5605
Ga1 Ga 0.0122 0.8065 0.5885
Rh1 Rh 0.1176 0.6176 0.8824
Rh2 Rh 0.1633 0.1633 0.1633
Rh3 Rh 0.2161 0.7839 0.2839
```


According to the calculations, the structures order from most to least stable as *2*, *1*.


*1*
A relaxed structure of YGaRh3, computed with PBE.

spin magnetization	0.00	Bohr magnetons per cell

Geometry as CIF:
```
data_YGaRh3
_symmetry_space_group_name_H-M 'P m -3 m'
_symmetry_Int_Tables_number 221
_symmetry_space_group_name_Hall '-P 4 2 3'
_cell_length_a 4.5731
_cell_length_b 4.5731
_cell_length_c 4.5731
_cell_angle_alpha 90.00
_cell_angle_beta 90.00
_cell_angle_gamma 90.00
loop_
_atom_site_label
_atom_site_type_symbol
_atom_site_fract_x
_atom_site_fract_y
_atom_site_fract_z
Y1 Y 0.0000 0.0000 0.0000
Ga1 Ga 0.5000 0.5000 0.5000
Rh1 Rh 0.0000 0.5000 0.5000
```


*2*
A relaxed structure of YGaRh3, computed with PBE.

spin magnetization	3.44	Bohr magnetons per cell

Geometry as CIF:
```
data_YGaRh3
_symmetry_space_group_name_H-M 'C m c m'
_symmetry_Int_Tables_number 63
_symmetry_space_group_name_Hall '-C 2c 2'
_cell_length_a 6.8882
_cell_length_b 14.0999
_cell_length_c 4.9636
_cell_angle_alpha 90.00
_cell_angle_beta 90.00
_cell_angle_gamma 90.00
loop_
_atom_site_label
_atom_site_type_symbol
_atom_site_fract_x
_atom_site_fract_y
_atom_site_fract_z
Y1 Y 0.0000 0.1214 0.2500
Ga1 Ga 0.0000 0.3413 0.2500
Rh1 Rh 0.0000 0.5000 0.0000
Rh2 Rh 0.1856 0.0596 0.7500
```


According to the calculations, the structures order from most to least stable as *1*, *2*.


*1*
A relaxed structure of YGaRh4, computed with PBE.

spin magnetization	0.00	Bohr magnetons per cell

Geometry as CIF:
```
data_YGaRh4
_symmetry_space_group_name_H-M 'F -4 3 m'
_symmetry_Int_Tables_number 216
_symmetry_space_group_name_Hall 'F -4 2 3'
_cell_length_a 7.4012
_cell_length_b 7.4012
_cell_length_c 7.4012
_cell_angle_alpha 90.00
_cell_angle_beta 90.00
_cell_angle_gamma 90.00
loop_
_atom_site_label
_atom_site_type_symbol
_atom_site_fract_x
_atom_site_fract_y
_atom_site_fract_z
Y1 Y 0.0000 0.0000 0.0000
Ga1 Ga 0.2500 0.2500 0.2500
Rh1 Rh 0.1242 0.1242 0.6242
```


*2*
A relaxed structure of YGaRh4, computed with PBE.

spin magnetization	0.00	Bohr magnetons per cell

Geometry as CIF:
```
data_YGaRh4
_symmetry_space_group_name_H-M 'C m c m'
_symmetry_Int_Tables_number 63
_symmetry_space_group_name_Hall '-C 2c 2'
_cell_length_a 4.0338
_cell_length_b 16.5044
_cell_length_c 5.9935
_cell_angle_alpha 90.00
_cell_angle_beta 90.00
_cell_angle_gamma 90.00
loop_
_atom_site_label
_atom_site_type_symbol
_atom_site_fract_x
_atom_site_fract_y
_atom_site_fract_z
Y1 Y 0.0000 0.0973 0.2500
Ga1 Ga 0.0000 0.2247 0.7500
Rh1 Rh 0.0000 0.0756 0.7500
Rh2 Rh 0.0000 0.3308 0.0310
Rh3 Rh 0.0000 0.5000 0.0000
```


According to the calculations, the structures order from most to least stable as *2*, *1*.


*1*
A relaxed structure of Zn3GaRh, computed with PBE.

spin magnetization	0.00	Bohr magnetons per cell

Geometry as CIF:
```
data_Zn3GaRh
_symmetry_space_group_name_H-M 'P m -3 m'
_symmetry_Int_Tables_number 221
_symmetry_space_group_name_Hall '-P 4 2 3'
_cell_length_a 4.5611
_cell_length_b 4.5611
_cell_length_c 4.5611
_cell_angle_alpha 90.00
_cell_angle_beta 90.00
_cell_angle_gamma 90.00
loop_
_atom_site_label
_atom_site_type_symbol
_atom_site_fract_x
_atom_site_fract_y
_atom_site_fract_z
Zn1 Zn 0.0000 0.0000 0.5000
Ga1 Ga 0.0000 0.0000 0.0000
Rh1 Rh 0.5000 0.5000 0.5000
```


*2*
A relaxed structure of Zn3GaRh, computed with PBE.

spin magnetization	0.00	Bohr magnetons per cell

Geometry as CIF:
```
data_Zn3GaRh
_symmetry_space_group_name_H-M 'P m -3 m'
_symmetry_Int_Tables_number 221
_symmetry_space_group_name_Hall '-P 4 2 3'
_cell_length_a 4.7964
_cell_length_b 4.7964
_cell_length_c 4.7964
_cell_angle_alpha 90.00
_cell_angle_beta 90.00
_cell_angle_gamma 90.00
loop_
_atom_site_label
_atom_site_type_symbol
_atom_site_fract_x
_atom_site_fract_y
_atom_site_fract_z
Zn1 Zn 0.0000 0.0000 0.5000
Ga1 Ga 0.5000 0.5000 0.5000
Rh1 Rh 0.0000 0.0000 0.0000
```


According to the calculations, the structures order from most to least stable as *2*, *1*.


*1*
A relaxed structure of ZnGa4Rh2, computed with PBE.

spin magnetization	0.00	Bohr magnetons per cell

Geometry as CIF:
```
data_ZnGa4Rh2
_symmetry_space_group_name_H-M 'I 4/m m m'
_symmetry_Int_Tables_number 139
_symmetry_space_group_name_Hall '-I 4 2'
_cell_length_a 4.6335
_cell_length_b 4.6335
_cell_length_c 12.6058
_cell_angle_alpha 90.00
_cell_angle_beta 90.00
_cell_angle_gamma 90.00
loop_
_atom_site_label
_atom_site_type_symbol
_atom_site_fract_x
_atom_site_fract_y
_atom_site_fract_z
Zn1 Zn 0.0000 0.0000 0.0000
Ga1 Ga 0.0000 0.0000 0.2034
Ga2 Ga 0.0000 0.5000 0.0000
Rh1 Rh 0.0000 0.0000 0.3953
```


*2*
A relaxed structure of ZnGa4Rh2, computed with PBE.

spin magnetization	0.00	Bohr magnetons per cell

Geometry as CIF:
```
data_ZnGa4Rh2
_symmetry_space_group_name_H-M 'P 1 21/m 1'
_symmetry_Int_Tables_number 11
_symmetry_space_group_name_Hall '-P 2yb'
_cell_length_a 6.7371
_cell_length_b 5.3309
_cell_length_c 6.9243
_cell_angle_alpha 90.00
_cell_angle_beta 114.91
_cell_angle_gamma 90.00
loop_
_atom_site_label
_atom_site_type_symbol
_atom_site_fract_x
_atom_site_fract_y
_atom_site_fract_z
Zn1 Zn 0.2116 0.2500 0.2995
Ga1 Ga 0.0362 0.2500 0.8706
Ga2 Ga 0.0668 0.7500 0.5416
Ga3 Ga 0.4518 0.0011 0.7788
Rh1 Rh 0.2296 0.7500 0.9422
Rh2 Rh 0.3840 0.7500 0.4324
```


According to the calculations, the structures order from most to least stable as *2*, *1*.


*1*
A relaxed structure of Zn4GaRh, computed with PBE.

spin magnetization	0.00	Bohr magnetons per cell

Geometry as CIF:
```
data_Zn4GaRh
_symmetry_space_group_name_H-M 'C 1 2/c 1'
_symmetry_Int_Tables_number 15
_symmetry_space_group_name_Hall '-C 2yc'
_cell_length_a 5.0764
_cell_length_b 14.6230
_cell_length_c 4.8330
_cell_angle_alpha 90.00
_cell_angle_beta 92.65
_cell_angle_gamma 90.00
loop_
_atom_site_label
_atom_site_type_symbol
_atom_site_fract_x
_atom_site_fract_y
_atom_site_fract_z
Zn1 Zn 0.2359 0.0280 0.1277
Zn2 Zn 0.2481 0.2005 0.2577
Ga1 Ga 0.0000 0.3694 0.2500
Rh1 Rh 0.0000 0.1378 0.7500
```


*2*
A relaxed structure of Zn4GaRh, computed with PBE.

spin magnetization	0.00	Bohr magnetons per cell

Geometry as CIF:
```
data_Zn4GaRh
_symmetry_space_group_name_H-M 'P 1 2/c 1'
_symmetry_Int_Tables_number 13
_symmetry_space_group_name_Hall '-P 2yc'
_cell_length_a 7.1932
_cell_length_b 4.4999
_cell_length_c 5.7487
_cell_angle_alpha 90.00
_cell_angle_beta 97.38
_cell_angle_gamma 90.00
loop_
_atom_site_label
_atom_site_type_symbol
_atom_site_fract_x
_atom_site_fract_y
_atom_site_fract_z
Zn1 Zn 0.1557 0.0049 0.3886
Zn2 Zn 0.3137 0.4877 0.7852
Ga1 Ga 0.5000 0.0181 0.2500
Rh1 Rh 0.0000 0.5000 0.0000
```


*3*
A relaxed structure of Zn4GaRh, computed with PBE.

spin magnetization	0.00	Bohr magnetons per cell

Geometry as CIF:
```
data_Zn4GaRh
_symmetry_space_group_name_H-M 'F -4 3 m'
_symmetry_Int_Tables_number 216
_symmetry_space_group_name_Hall 'F -4 2 3'
_cell_length_a 7.0417
_cell_length_b 7.0417
_cell_length_c 7.0417
_cell_angle_alpha 90.00
_cell_angle_beta 90.00
_cell_angle_gamma 90.00
loop_
_atom_site_label
_atom_site_type_symbol
_atom_site_fract_x
_atom_site_fract_y
_atom_site_fract_z
Zn1 Zn 0.1254 0.1254 0.1254
Ga1 Ga 0.2500 0.2500 0.7500
Rh1 Rh 0.0000 0.0000 0.5000
```


According to the calculations, the structures order from most to least stable as *1*, *2*, *3*.


*1*
A relaxed structure of Zn5GaRh2, computed with PBE.

spin magnetization	0.00	Bohr magnetons per cell

Geometry as CIF:
```
data_Zn5GaRh2
_symmetry_space_group_name_H-M 'C m c m'
_symmetry_Int_Tables_number 63
_symmetry_space_group_name_Hall '-C 2c 2'
_cell_length_a 4.0829
_cell_length_b 12.1991
_cell_length_c 10.5464
_cell_angle_alpha 90.00
_cell_angle_beta 90.00
_cell_angle_gamma 90.00
loop_
_atom_site_label
_atom_site_type_symbol
_atom_site_fract_x
_atom_site_fract_y
_atom_site_fract_z
Zn1 Zn 0.0000 0.1048 0.1332
Zn2 Zn 0.0000 0.2737 0.7500
Zn3 Zn 0.0000 0.3154 0.9998
Ga1 Ga 0.0000 0.4190 0.2500
Rh1 Rh 0.0000 0.1016 0.6091
```


*2*
A relaxed structure of Zn5GaRh2, computed with PBE.

spin magnetization	0.00	Bohr magnetons per cell

Geometry as CIF:
```
data_Zn5GaRh2
_symmetry_space_group_name_H-M 'P b a m'
_symmetry_Int_Tables_number 55
_symmetry_space_group_name_Hall '-P 2 2ab'
_cell_length_a 5.3992
_cell_length_b 10.7805
_cell_length_c 3.8932
_cell_angle_alpha 90.00
_cell_angle_beta 90.00
_cell_angle_gamma 90.00
loop_
_atom_site_label
_atom_site_type_symbol
_atom_site_fract_x
_atom_site_fract_y
_atom_site_fract_z
Zn1 Zn 0.0000 0.0000 0.0000
Zn2 Zn 0.0413 0.2467 0.0000
Zn3 Zn 0.2095 0.8623 0.5000
Ga1 Ga 0.0000 0.5000 0.0000
Rh1 Rh 0.2080 0.6098 0.5000
```


According to the calculations, the structures order from most to least stable as *2*, *1*.


*1*
A relaxed structure of Zn2Ga2Rh, computed with PBE.

spin magnetization	0.00	Bohr magnetons per cell

Geometry as CIF:
```
data_Zn2Ga2Rh
_symmetry_space_group_name_H-M 'P 4/m b m'
_symmetry_Int_Tables_number 127
_symmetry_space_group_name_Hall '-P 4 2ab'
_cell_length_a 6.6159
_cell_length_b 6.6159
_cell_length_c 3.6176
_cell_angle_alpha 90.00
_cell_angle_beta 90.00
_cell_angle_gamma 90.00
loop_
_atom_site_label
_atom_site_type_symbol
_atom_site_fract_x
_atom_site_fract_y
_atom_site_fract_z
Zn1 Zn 0.1636 0.3364 0.0000
Ga1 Ga 0.1405 0.6405 0.5000
Rh1 Rh 0.0000 0.0000 0.5000
```


*2*
A relaxed structure of Zn2Ga2Rh, computed with PBE.

spin magnetization	0.00	Bohr magnetons per cell

Geometry as CIF:
```
data_Zn2Ga2Rh
_symmetry_space_group_name_H-M 'P 4/m b m'
_symmetry_Int_Tables_number 127
_symmetry_space_group_name_Hall '-P 4 2ab'
_cell_length_a 6.7472
_cell_length_b 6.7472
_cell_length_c 3.4524
_cell_angle_alpha 90.00
_cell_angle_beta 90.00
_cell_angle_gamma 90.00
loop_
_atom_site_label
_atom_site_type_symbol
_atom_site_fract_x
_atom_site_fract_y
_atom_site_fract_z
Zn1 Zn 0.1318 0.3682 0.0000
Ga1 Ga 0.1731 0.6731 0.5000
Rh1 Rh 0.0000 0.0000 0.0000
```


According to the calculations, the structures order from most to least stable as *1*, *2*.